(1)
! Zr3AlPd, optimized geometry, DFT GGA-PBE; values from VASP
! Space group = Pm-3m
! Relative energy among the computed polymorphs = 0 meV/atom
! D(E_F) = 4.7 states/eV/f.u.
! Energy = -6.54 eV per atom
&SYSTEM
  ibrav = 0, nat = 5, ntyp = 3
/
ATOMIC_SPECIES
Zr 91.22 Zr.upf
Pd 106.42 Pd.upf
Al 26.98 Al.upf
ATOMIC_POSITIONS crystal
Zr 0.000 0.500 0.000
Zr 0.000 0.000 0.500
Zr 0.500 0.000 0.000
Pd 0.000 0.000 0.000
Al 0.500 0.500 0.500
CELL_PARAMETERS angstrom
5.038 0.000 0.000
0.000 5.038 0.000
0.000 0.000 5.038

(2)
! ZrAl2Pd7, optimized geometry, DFT GGA-PBE; values from VASP
! Space group = I4/mmm
! D(E_F) = 3.4 states/eV/f.u.
! Energy = -5.96 eV per atom
&SYSTEM
  ibrav = 0, nat = 10, ntyp = 3
/
ATOMIC_SPECIES
Zr 91.22 Zr.upf
Al 26.98 Al.upf
Pd 106.42 Pd.upf
ATOMIC_POSITIONS crystal
Zr 0.000 0.000 0.000
Al 0.675 0.675 0.350
Al 0.325 0.325 0.650
Pd 0.100 0.600 0.201
Pd 0.400 0.900 0.799
Pd 0.600 0.100 0.201
Pd 0.500 0.500 0.000
Pd 0.750 0.250 0.500
Pd 0.900 0.400 0.799
Pd 0.250 0.750 0.500
CELL_PARAMETERS angstrom
-2.573 -1.379 2.831
1.506 -3.750 -0.458
7.314 4.425 5.882

In the order shown, the computed formation enthalpy at 0 K values come out to 36.6; -69.9 kJ per mole of atoms.